The following is a DFT calculation (PBE) of ScMoRu after structural relaxation.

abc: 6.1191 6.1191 6.1191
angles: 90.00 90.00 90.00
Fractional coordinates of all 12 atoms:
Sc: 0.0000 0.0000 0.0000
Sc: 0.0000 0.5000 0.5000
Sc: 0.5000 0.0000 0.5000
Sc: 0.5000 0.5000 0.0000
Mo: 0.0000 0.0000 0.5000
Mo: 0.0000 0.5000 0.0000
Mo: 0.5000 0.0000 0.0000
Mo: 0.5000 0.5000 0.5000
Ru: 0.2500 0.2500 0.7500
Ru: 0.2500 0.7500 0.2500
Ru: 0.7500 0.2500 0.2500
Ru: 0.7500 0.7500 0.7500

Electronic total energy   -8.65 eV per atom
Total magnetic moment   0.00 μB/cell
Energy above the most stable polymorph in this dataset   350 meV per atom
Formation energy   0.16 eV/atom
ρ   7.01 g/cm3
Fermi-level density of states   0.78 states/eV per atom